A geometry-optimized SnMo2F2 structure. Source: Alexandria, functional PBE+U.

The structure in extended XYZ format:
```
5
Lattice="4.6049 0.0000 0.0000 0.0000 4.6049 0.0000 2.3025 2.3025 4.3611" Properties=species:S:1:pos:R:3 pbc="T T T"
F 4.6049 4.6049 2.9354
Mo 2.3025 4.6049 2.1806
F 2.3025 2.3025 1.4257
Mo 4.6049 2.3025 2.1806
Sn 0.0000 0.0000 0.0000
```

As for the total DFT energy (no corrections): -4.679 eV/atom. The value obtained for the total moment is 6.1 μB per cell.